Computed, not measured: an optimized crystal structure of Ti4PN2 at the PBE level of DFT.

Values from the calculation:
Total magnetic moment, μB/atom: 0.0000
E_form (uncorrected), eV/atom: -1.452
E, eV per atom: -9.115
Space group: No. 63
D(E_F), states/eV/f.u.: 4.329

POSCAR file:
```
Ti4PN2
1.0
1.5926 -4.9953 0.0000
1.5926 4.9953 0.0000
0.0000 0.0000 10.5103
Ti P N
8 2 4
Cartesian
0.0000 0.0000 0.0000
0.0000 0.0000 5.2552
1.5926 2.3267 6.3978
1.5926 2.3267 9.3677
1.5926 0.7482 2.6276
1.5926 -0.7482 7.8827
1.5926 -2.3267 1.1426
1.5926 -2.3267 4.1126
1.5926 3.9065 2.6276
1.5926 -3.9065 7.8827
1.5926 1.3563 0.6584
1.5926 1.3563 4.5967
1.5926 -1.3563 5.9136
1.5926 -1.3563 9.8519
```